Density functional theory data (PBE-GGA) for Os2RuCl after structural relaxation.

a b c (Å): 6.173 6.173 6.173
angles (deg): 90.00 90.00 90.00
Fractional coordinates of all 16 atoms:
Os1 0.250 0.250 0.250
Os2 0.250 0.250 0.750
Os3 0.250 0.750 0.250
Os4 0.250 0.750 0.750
Os5 0.750 0.250 0.250
Os6 0.750 0.250 0.750
Os7 0.750 0.750 0.250
Os8 0.750 0.750 0.750
Ru1 0.000 0.000 0.000
Ru2 0.000 0.500 0.500
Ru3 0.500 0.000 0.500
Ru4 0.500 0.500 0.000
Cl1 0.000 0.000 0.500
Cl2 0.000 0.500 0.000
Cl3 0.500 0.000 0.000
Cl4 0.500 0.500 0.500

Output
offset from the most stable computed form = 747 meV/atom
E_form (uncorrected) = 1.2542 eV per atom